La4MgCd2Ag: optimized geometry, PBE-GGA.

The space group is No. 166.

abc: 9.5797 9.5797 9.5797
angles: 33.59 33.59 33.59
Closest atoms and distances in Å follow each position.
Sites, in units of the cell vectors:
La 0.1208 0.1208 0.1208  1 Ag 3.27, 4 Cd 3.31-3.33, 3 Mg 3.43
La 0.3715 0.3715 0.3715  3 Ag 3.36, 4 Cd 3.46-3.49, 1 Mg 3.48
La 0.6285 0.6285 0.6285  3 Ag 3.36, 4 Cd 3.46-3.49, 1 Mg 3.48
La 0.8792 0.8792 0.8792  1 Ag 3.27, 4 Cd 3.31-3.33, 3 Mg 3.43
Mg 0.5000 0.5000 0.5000  8 La 3.43-3.48, 6 Cd 3.82
Cd 0.2438 0.2438 0.2438  8 La 3.31-3.49
Cd 0.7562 0.7562 0.7562  8 La 3.31-3.49
Ag 0.0000 0.0000 0.0000  8 La 3.27-3.36

=====

AgPAu: optimized geometry, PBE-GGA.

As for the excess energy over the best structure of this formula in the dataset: 0.128 eV per atom. The space group is No. 44.

abc: 3.0043 3.6461 9.4786
angles: 90.00 90.00 90.00
Closest atoms and distances in Å follow each position.
Sites, in units of the cell vectors:
Ag 0.0000 0.0000 0.0000  5 P 2.86-3.13, 5 Au 2.95-2.97, 2 Ag 3.00
Ag 0.5000 0.5000 0.5000  5 P 2.86-3.13, 5 Au 2.95-2.97, 2 Ag 3.00
P 0.0000 0.0000 0.6693  4 Au 2.73, 4 Ag 2.86, 2 P 3.00
P 0.5000 0.5000 0.1693  4 Au 2.73, 4 Ag 2.86, 2 P 3.00
Au 0.0000 0.0000 0.3139  4 P 2.73, 5 Ag 2.95-2.97, 2 Au 3.00
Au 0.5000 0.5000 0.8139  4 P 2.73, 5 Ag 2.95-2.97, 2 Au 3.00

=====

Number 1: ΔE_f -261 meV/atom, V 29.96 Å³/atom. Number 2: ΔE_f 317 meV/atom, V 17.30 Å³/atom.